{"formula": "Tm2CdNi", "functional": "PBE", "state": "optimized geometry", "volume_a3_per_fu": 87.6, "crystal_system": "cubic", "de_polymorph_ev_per_atom": 0.110, "sg": "No. 225", "final_energy_ev_per_fu": -16.80, "delta_e_f_mev_per_atom": -290, "cell": [[-0.248, -0.174, 4.975], [-3.502, -2.761, 2.226], [1.275, -4.170, 2.415]], "species": ["Ni", "Tm", "Tm", "Cd"], "fractional_positions": [[0.000, 0.000, 0.000], [0.250, 0.250, 0.250], [0.750, 0.750, 0.750], [0.500, 0.500, 0.500]]}

=====

{"formula": "Tm4Cd3Ni", "functional": "PBE", "state": "optimized geometry", "volume_a3_per_fu": 187.8, "crystal_system": "tetragonal", "sg": "No. 123", "final_energy_ev_per_fu": -29.14, "delta_e_f_mev_per_atom": -340, "cell": [[-1.283, 0.899, -3.030], [-0.447, -3.289, -0.787], [-14.806, 0.477, 6.408]], "species": ["Ni", "Tm", "Tm", "Tm", "Tm", "Cd", "Cd", "Cd"], "fractional_positions": [[0.500, 0.500, 0.000], [0.000, 0.000, 0.901], [0.000, 0.000, 0.099], [0.000, 0.000, 0.366], [0.000, 0.000, 0.634], [0.500, 0.500, 0.235], [0.500, 0.500, 0.500], [0.500, 0.500, 0.765]]}

=====

{"formula": "Tm3Cd2Ni", "functional": "PBE", "state": "optimized geometry", "volume_a3_per_fu": 145.2, "crystal_system": "orthorhombic", "sg": "No. 74", "final_energy_ev_per_fu": -22.68, "delta_e_f_mev_per_atom": -276, "cell": [[-4.869, 1.319, 1.056], [0.678, -2.678, 6.470], [4.605, 7.798, -1.085]], "species": ["Tm", "Tm", "Tm", "Tm", "Tm", "Tm", "Cd", "Cd", "Cd", "Cd", "Ni", "Ni"], "fractional_positions": [[0.441, 0.250, 0.000], [0.559, 0.750, 0.000], [0.131, 0.131, 0.261], [0.870, 0.369, 0.739], [0.130, 0.631, 0.261], [0.869, 0.869, 0.739], [0.699, 0.446, 0.392], [0.693, 0.946, 0.392], [0.307, 0.054, 0.608], [0.301, 0.554, 0.608], [0.062, 0.750, 0.000], [0.938, 0.250, 0.000]]}

=====

{"formula": "Tm12CdNi6", "functional": "PBE", "state": "optimized geometry", "volume_a3_per_fu": 455.8, "crystal_system": "trigonal", "de_polymorph_ev_per_atom": 0.123, "sg": "No. 148", "final_energy_ev_per_fu": -93.75, "delta_e_f_mev_per_atom": -236, "cell": [[8.230, -0.798, -0.956], [-2.037, 8.014, -0.956], [-2.037, -2.373, 7.714]], "species": ["Tm", "Tm", "Tm", "Tm", "Tm", "Tm", "Tm", "Tm", "Tm", "Tm", "Tm", "Tm", "Cd", "Ni", "Ni", "Ni", "Ni", "Ni", "Ni"], "fractional_positions": [[0.848, 0.610, 0.550], [0.550, 0.848, 0.610], [0.610, 0.550, 0.848], [0.152, 0.390, 0.450], [0.450, 0.152, 0.390], [0.390, 0.450, 0.152], [0.035, 0.855, 0.331], [0.145, 0.669, 0.965], [0.669, 0.965, 0.145], [0.965, 0.145, 0.669], [0.855, 0.331, 0.035], [0.331, 0.035, 0.855], [0.000, 0.000, 0.000], [0.713, 0.785, 0.360], [0.640, 0.287, 0.215], [0.215, 0.640, 0.287], [0.287, 0.215, 0.640], [0.360, 0.713, 0.785], [0.785, 0.360, 0.713]]}

=====

{"formula": "Tm6CdNi2", "functional": "PBE", "state": "optimized geometry", "volume_a3_per_fu": 217.4, "crystal_system": "orthorhombic", "sg": "No. 71", "final_energy_ev_per_fu": -42.18, "delta_e_f_mev_per_atom": -320, "cell": [[8.275, -0.025, -0.051], [-3.158, 7.649, 0.051], [-2.787, -3.659, 6.880]], "species": ["Tm", "Tm", "Tm", "Tm", "Tm", "Tm", "Tm", "Tm", "Tm", "Tm", "Tm", "Tm", "Cd", "Cd", "Ni", "Ni", "Ni", "Ni"], "fractional_positions": [[0.526, 0.710, 0.816], [0.474, 0.290, 0.184], [0.106, 0.290, 0.816], [0.894, 0.710, 0.184], [0.798, 0.765, 0.563], [0.202, 0.235, 0.437], [0.202, 0.765, 0.966], [0.798, 0.235, 0.034], [0.694, 0.370, 0.676], [0.306, 0.630, 0.324], [0.306, 0.983, 0.676], [0.694, 0.017, 0.324], [0.000, 0.500, 0.500], [0.000, 0.000, 0.000], [0.500, 0.378, 0.878], [0.500, 0.622, 0.122], [0.647, 0.000, 0.647], [0.353, 0.000, 0.353]]}

=====

{"formula": "YTmCdNi", "functional": "PBE", "state": "optimized geometry", "volume_a3_per_fu": 89.8, "crystal_system": "cubic", "de_polymorph_ev_per_atom": 0.106, "sg": "No. 216", "final_energy_ev_per_fu": -18.74, "delta_e_f_mev_per_atom": -277, "cell": [[5.027, 0.000, 0.000], [2.514, 4.354, 0.000], [2.514, 1.451, 4.105]], "species": ["Y", "Ni", "Tm", "Cd"], "fractional_positions": [[0.750, 0.750, 0.750], [0.000, 0.000, 0.000], [0.250, 0.250, 0.250], [0.500, 0.500, 0.500]]}

=====

{"formula": "YTmCdNi", "functional": "PBE", "state": "optimized geometry", "volume_a3_per_fu": 89.4, "crystal_system": "tetragonal", "de_polymorph_ev_per_atom": 0.000, "sg": "No. 99", "final_energy_ev_per_fu": -19.16, "delta_e_f_mev_per_atom": -383, "cell": [[-2.387, 1.222, -2.148], [-1.037, -3.206, -0.671], [-4.944, 0.401, 5.723]], "species": ["Y", "Tm", "Cd", "Ni"], "fractional_positions": [[0.500, 0.500, 0.785], [0.500, 0.500, 0.360], [0.000, 0.000, 0.079], [0.000, 0.000, 0.561]]}

=====

{"formula": "UCdNi2", "functional": "PBE", "state": "optimized geometry", "volume_a3_per_fu": 64.4, "crystal_system": "tetragonal", "de_polymorph_ev_per_atom": 0.000, "sg": "No. 123", "final_energy_ev_per_fu": -23.94, "delta_e_f_mev_per_atom": -44, "cell": [[-2.239, 1.133, 1.619], [-1.657, 0.257, -2.471], [-2.604, -6.655, 1.055]], "species": ["Ni", "Ni", "U", "Cd"], "fractional_positions": [[0.000, 0.000, 0.753], [0.000, 0.000, 0.247], [0.500, 0.500, 0.000], [0.500, 0.500, 0.500]]}

=====

{"formula": "UCdNi2", "functional": "PBE", "state": "optimized geometry", "volume_a3_per_fu": 69.8, "crystal_system": "trigonal", "de_polymorph_ev_per_atom": 0.398, "sg": "No. 166", "final_energy_ev_per_fu": -22.35, "delta_e_f_mev_per_atom": 354, "cell": [[2.856, 0.000, 0.000], [1.428, 2.474, 0.000], [1.428, 0.825, 9.881]], "species": ["Ni", "Ni", "U", "Cd"], "fractional_positions": [[0.091, 0.091, 0.728], [0.909, 0.909, 0.272], [0.500, 0.500, 0.500], [0.000, 0.000, 0.000]]}

=====

{"formula": "UCdNi", "functional": "PBE", "state": "optimized geometry", "volume_a3_per_fu": 56.0, "crystal_system": "triclinic", "sg": "No. 1", "final_energy_ev_per_fu": -17.75, "delta_e_f_mev_per_atom": 79, "cell": [[3.148, 0.089, -0.163], [1.641, 2.833, -0.529], [-0.274, -1.248, 12.993]], "species": ["Cd", "Cd", "Ni", "Ni", "U", "U"], "fractional_positions": [[0.345, 0.270, 0.319], [0.083, 0.689, 0.114], [0.601, 0.805, 0.482], [0.451, 0.843, 0.951], [0.855, 0.330, 0.635], [0.802, 0.015, 0.798]]}

=====

{"formula": "VCdNi2", "functional": "PBE", "state": "optimized geometry", "volume_a3_per_fu": 55.8, "crystal_system": "tetragonal", "sg": "No. 123", "final_energy_ev_per_fu": -21.81, "delta_e_f_mev_per_atom": -54, "cell": [[-1.788, 0.365, 2.370], [-0.612, -2.928, -0.011], [4.830, -1.023, 3.802]], "species": ["Ni", "Ni", "V", "Cd"], "fractional_positions": [[0.000, 0.000, 0.798], [0.000, 0.000, 0.202], [0.500, 0.500, 0.000], [0.500, 0.500, 0.500]]}

=====

{"formula": "VCdNi2", "functional": "PBE", "state": "optimized geometry", "volume_a3_per_fu": 60.6, "crystal_system": "tetragonal", "sg": "No. 122", "final_energy_ev_per_fu": -19.78, "delta_e_f_mev_per_atom": 453, "cell": [[-2.939, -5.706, 1.916], [5.586, -3.380, -1.497], [2.228, -4.163, 2.728]], "species": ["Ni", "Ni", "Ni", "Ni", "Cd", "Cd", "V", "V"], "fractional_positions": [[0.583, 0.125, 0.250], [0.167, 0.625, 0.250], [0.375, 0.417, 0.750], [0.875, 0.833, 0.750], [0.000, 0.000, 0.000], [0.750, 0.250, 0.500], [0.500, 0.500, 0.000], [0.250, 0.750, 0.500]]}

=====

no.,mass density (g cm⁻³)
1,9.7
2,9.5
3,9.0
4,9.1
5,9.5
6,7.9
7,8.0
8,12.1
9,11.1
10,12.1
11,8.4
12,7.7